[1]
KBaRu2 | PBE-GGA | relaxed

Summary:
Formation enthalpy at 0 K in meV/atom: 1396.5
DFT total energy in eV per atom: -3.996
Excess energy over the best structure of this formula in the dataset in meV/atom: 965

Lattice parameters (Å, degrees): 3.0911 3.0911 33.4268 90.00 90.00 120.00
Space group R-3m (No. 166, hexagonal axes)
One atom of each set of equivalent atoms:
K  0.0000  0.0000  0.0000 (multiplicity 3)
Ba  0.0000  0.0000  0.5000 (multiplicity 3)
Ru  0.0000  0.0000  0.2489 (multiplicity 6)

***

[2]
KBa2Ru | PBE-GGA | relaxed

Summary:
Formation enthalpy at 0 K in meV/atom: 450.7
DFT total energy in eV per atom: -3.104
Excess energy over the best structure of this formula in the dataset in meV/atom: 88

Lattice parameters (Å, degrees): 8.894 8.894 12.568 90.00 90.00 90.00
Space group I-42d (No. 122)
One atom of each set of equivalent atoms:
K  0.000  0.000  0.000 (multiplicity 4)
Ba  0.002  0.250  0.625 (multiplicity 8)
Ru  0.000  0.000  0.500 (multiplicity 4)